## Na3TeH (PBE)

Data for an optimized crystal structure of Na3TeH.

Cell lengths 12.282, 14.728, 5.793 Å; angles 90.00, 109.32, 90.00 degrees
Space group C2/c (No. 15)
Symmetry-distinct sites (fractional):
Na 0.095 0.207 0.043 x8
Na 0.101 0.426 0.094 x8
Na 0.121 0.057 0.507 x8
Te 0.164 0.367 0.646 x8
H 0.000 0.072 0.750 x4
H 0.000 0.144 0.250 x4

Total magnetic moment ... 0.00 μB/cell
Calculated total energy ... -104.704 eV/cell
DOS at the Fermi energy ... 0.00 states/eV per cell

=====

## Hf4ZnP (PBE)

Data for an optimized crystal structure of Hf4ZnP.

Cell lengths 6.532, 6.532, 5.249 Å; angles 90.00, 90.00, 90.00 degrees
Space group P4/mcc (No. 124)
Symmetry-distinct sites (fractional):
Hf 0.149 0.338 0.000 x8
Zn 0.500 0.500 0.250 x2
P 0.000 0.000 0.250 x2

Total magnetic moment ... 0.00 μB/cell
Calculated total energy ... -99.658 eV/cell
DFT formation energy ... -555 meV/atom
DOS at the Fermi energy ... 9.94 states/eV per cell

=====

## Sr2ScCl2O2 (PBE)

Data for an optimized crystal structure of Sr2ScCl2O2.

Cell lengths 4.243, 4.243, 15.258 Å; angles 90.00, 90.00, 90.00 degrees
Space group I4/mmm (No. 139)
Symmetry-distinct sites (fractional):
Sr 0.000 0.000 0.111 x4
Sc 0.000 0.000 0.500 x2
Cl 0.000 0.000 0.320 x4
O 0.000 0.500 0.000 x4

Total magnetic moment ... 1.84 μB/cell
Calculated total energy ... -82.443 eV/cell
Raw formation energy ... -247.0 kJ per mole of atoms
DOS at the Fermi energy ... 4.78 states/eV per cell

=====

## BeFeP2 (PBE)

Data for an optimized crystal structure of BeFeP2.

Cell lengths 3.216, 3.916, 8.758 Å; angles 90.00, 90.00, 90.00 degrees
Space group Cmm2 (No. 35)
Symmetry-distinct sites (fractional):
Be 0.000 0.000 0.000 x2
Fe 0.000 0.500 0.807 x2
P 0.000 0.000 0.614 x2
P 0.000 0.500 0.186 x2

Total magnetic moment ... 4.11 μB/cell
Calculated total energy ... -44.751 eV/cell
DFT formation energy ... 158 meV/atom
DOS at the Fermi energy ... 3.51 states/eV per cell

=====

## NdEu2Au (PBE)

Data for an optimized crystal structure of NdEu2Au.

Cell lengths 3.7828, 3.7828, 34.1351 Å; angles 90.00, 90.00, 120.00 degrees
Space group R-3m (No. 166, hexagonal axes)
Symmetry-distinct sites (fractional):
Nd 0.0000 0.0000 0.0000 x3
Eu 0.0000 0.0000 0.1038 x6
Au 0.0000 0.0000 0.5000 x3

Total magnetic moment ... 45.66 μB/cell
Calculated total energy ... -87.100 eV/cell
DFT formation energy ... -110 meV/atom
DOS at the Fermi energy ... 11.46 states/eV per cell

=====

## Ti2ZnPb (PBE)

Data for an optimized crystal structure of Ti2ZnPb.

Cell lengths 4.136, 4.136, 4.222 Å; angles 90.00, 90.00, 90.00 degrees
Space group P4/mmm (No. 123)
Symmetry-distinct sites (fractional):
Ti 0.000 0.500 0.000 x2
Zn 0.000 0.000 0.500 x1
Pb 0.500 0.500 0.500 x1

Total magnetic moment ... 0.00 μB/cell
Calculated total energy ... -20.994 eV/cell
DFT formation energy ... -55 meV/atom
DOS at the Fermi energy ... 3.41 states/eV per cell

=====

## Li2PdRuC (PBE)

Data for an optimized crystal structure of Li2PdRuC.

Cell lengths 4.104, 4.104, 3.855 Å; angles 90.00, 90.00, 90.00 degrees
Space group P4/mmm (No. 123)
Symmetry-distinct sites (fractional):
Li 0.000 0.500 0.000 x2
Pd 0.000 0.000 0.500 x1
Ru 0.500 0.500 0.500 x1
C 0.000 0.000 0.000 x1

Total magnetic moment ... 1.96 μB/cell
Calculated total energy ... -24.207 eV/cell
DFT formation energy ... 663 meV/atom
DOS at the Fermi energy ... 5.63 states/eV per cell

=====

## Be2NbV (PBE)

Data for an optimized crystal structure of Be2NbV.

Cell lengths 6.508, 6.508, 4.853 Å; angles 90.00, 90.00, 90.00 degrees
Space group I-42d (No. 122)
Symmetry-distinct sites (fractional):
Be 0.235 0.250 0.125 x8
Nb 0.000 0.000 0.500 x4
V 0.000 0.000 0.000 x4

Total magnetic moment ... 0.00 μB/cell
Calculated total energy ... -100.793 eV/cell
DFT formation energy ... 361 meV/atom
DOS at the Fermi energy ... 9.87 states/eV per cell

=====

## Ca2Mg3Tl (PBE)

Data for an optimized crystal structure of Ca2Mg3Tl.

Cell lengths 10.637, 6.085, 6.236 Å; angles 90.00, 124.47, 90.00 degrees
Space group C2/m (No. 12)
Symmetry-distinct sites (fractional):
Ca 0.126 0.000 0.378 x4
Mg 0.000 0.500 0.000 x2
Mg 0.250 0.250 0.000 x4
Tl 0.000 0.500 0.500 x2

Total magnetic moment ... 0.00 μB/cell
Calculated total energy ... -24.684 eV/cell
DFT formation energy ... -198 meV/atom
DOS at the Fermi energy ... 9.09 states/eV per cell

=====

## Th2C2Se (PBE)

Data for an optimized crystal structure of Th2C2Se.

Cell lengths 6.632, 4.569, 6.914 Å; angles 90.00, 96.11, 90.00 degrees
Space group C2/m (No. 12)
Symmetry-distinct sites (fractional):
Th 0.178 0.000 0.291 x4
C 0.000 0.343 0.500 x4
Se 0.000 0.500 0.000 x2

Total magnetic moment ... 0.00 μB/cell
Calculated total energy ... -80.824 eV/cell
Raw formation energy ... -70.2 kJ per mole of atoms
DOS at the Fermi energy ... 5.57 states/eV per cell

=====

## NdSm4DyHo2 (PBE)

Data for an optimized crystal structure of NdSm4DyHo2.

Cell lengths 6.223, 3.604, 11.922 Å; angles 90.00, 100.13, 90.00 degrees
Space group P2/m (No. 10)
Symmetry-distinct sites (fractional):
Nd 0.000 0.000 0.000 x1
Sm 0.251 0.000 0.749 x2
Sm 0.251 0.500 0.253 x2
Dy 0.000 0.500 0.500 x1
Ho 0.500 0.000 0.500 x1
Ho 0.500 0.500 0.000 x1

Total magnetic moment ... 0.00 μB/cell
Calculated total energy ... -37.262 eV/cell
DFT formation energy ... 17 meV/atom
DOS at the Fermi energy ... 11.19 states/eV per cell

=====

## KReCl2 (PBE)

Data for an optimized crystal structure of KReCl2.

Cell lengths 3.694, 3.694, 7.268 Å; angles 90.00, 90.00, 90.00 degrees
Space group P4mm (No. 99)
Symmetry-distinct sites (fractional):
K 0.000 0.000 0.000 x1
Re 0.500 0.500 0.430 x1
Cl 0.000 0.000 0.426 x1
Cl 0.500 0.500 0.783 x1

Total magnetic moment ... 3.60 μB/cell
Calculated total energy ... -16.215 eV/cell
Raw formation energy ... 24.7 kJ per mole of atoms
DOS at the Fermi energy ... 2.14 states/eV per cell